A geometry-optimized Ba2VFeO6 structure. Source: Alexandria via LeMat-Bulk, functional PBE with a Hubbard U.

POSCAR file:
```
Ba2VFeO6
1.0
0.0000 4.0204 4.0204
4.0204 0.0000 4.0204
4.0204 4.0204 0.0000
Ba V Fe O
2 1 1 6
Cartesian
2.0102 2.0102 2.0102
6.0306 6.0306 6.0306
0.0000 0.0000 0.0000
4.0204 4.0204 4.0204
4.0204 4.0204 1.9365
4.0204 1.9365 4.0204
6.1043 4.0204 4.0204
1.9365 4.0204 4.0204
4.0204 6.1043 4.0204
4.0204 4.0204 6.1043
```

Calculated values
offset from the most stable computed form	0.000	eV per atom
spin magnetization	0.505	μB per atom
space-group type	Fm-3m (225)


A geometry-optimized Ba3VFe2O8 structure. Source: Alexandria via LeMat-Bulk, functional PBE with a Hubbard U.

POSCAR file:
```
Ba3VFe2O8
1.0
5.7780 0.0000 0.0000
-2.8890 5.0039 0.0000
0.0000 0.0000 7.5007
Ba V Fe O
3 1 2 8
Cartesian
0.0000 0.0000 0.0000
0.0000 3.3359 4.9368
2.8890 1.6680 2.5639
0.0000 0.0000 3.7503
0.0000 3.3359 1.7314
2.8890 1.6680 5.7693
0.0000 1.5894 2.5651
-1.5125 4.2092 2.5651
1.3764 0.7947 4.9356
0.0000 3.3359 7.4298
2.8890 1.6680 0.0708
1.5125 4.2092 2.5651
4.4015 0.7947 4.9356
2.8890 3.4145 4.9356
```

Calculated values
total DFT energy (no corrections)	-93.8	eV/cell
spin magnetization	0.643	μB per atom
space-group type	P-3m1 (164)
N(E_F)	3.457	states/eV/f.u.


A geometry-optimized Ba2VFeO6 structure. Source: Alexandria via LeMat-Bulk, functional PBE with a Hubbard U.

POSCAR file:
```
Ba2VFeO6
1.0
0.0000 4.6178 4.6178
4.6178 0.0000 4.6178
4.6178 4.6178 0.0000
Ba V Fe O
2 1 1 6
Cartesian
2.3089 2.3089 2.3089
6.9267 6.9267 6.9267
0.0000 0.0000 0.0000
4.6178 4.6178 4.6178
2.3089 2.3089 0.0000
2.3089 0.0000 2.3089
4.6178 2.3089 2.3089
0.0000 2.3089 2.3089
2.3089 4.6178 2.3089
2.3089 2.3089 4.6178
```

Calculated values
offset from the most stable computed form	2.343	eV per atom
spin magnetization	0.601	μB per atom
space-group type	Fm-3m (225)
N(E_F)	15.621	states/eV/f.u.


A geometry-optimized BaV2FeO8 structure. Source: Alexandria via LeMat-Bulk, functional PBE with a Hubbard U.

POSCAR file:
```
BaV2FeO8
1.0
5.2583 0.0000 0.0000
-2.6292 4.5539 0.0000
0.0000 0.0000 7.3481
Ba V Fe O
1 2 1 8
Cartesian
0.0000 0.0000 0.0000
0.0000 3.0359 5.2500
2.6292 1.5180 2.0981
0.0000 0.0000 3.6741
-0.5414 1.4175 4.8138
-1.1309 4.3140 4.8138
0.9568 1.1776 2.5343
0.0000 3.0359 6.9389
2.6292 1.5180 0.4093
1.6723 3.3762 4.8138
3.7601 0.2398 2.5343
3.1706 3.1364 2.5343
```

Calculated values
total DFT energy (no corrections)	-84.1	eV/cell
spin magnetization	0.173	μB per atom
space-group type	P-3 (147)


A geometry-optimized Ba2FeW3O12 structure. Source: Alexandria via LeMat-Bulk, functional PBE with a Hubbard U.

POSCAR file:
```
Ba2FeW3O12
1.0
3.7471 2.1634 5.9193
-3.7471 2.1634 5.9193
0.0000 -4.3268 5.9193
Ba Fe W O
2 1 3 12
Cartesian
0.0000 0.0000 2.9350
0.0000 0.0000 14.8228
0.0000 0.0000 8.8789
-1.8735 -1.0817 5.9193
-1.8735 1.0817 11.8385
0.0000 2.1634 5.9193
-1.6201 -0.9354 7.7973
0.0000 -1.5888 5.6233
-1.3760 0.7944 5.6233
0.0000 -1.8708 9.9605
-1.6201 0.9354 9.9605
-1.3760 -0.7944 12.1345
1.3760 0.7944 5.6233
1.6201 -0.9354 7.7973
0.0000 1.8708 7.7973
1.3760 -0.7944 12.1345
0.0000 1.5888 12.1345
1.6201 0.9354 9.9605
```

Calculated values
total DFT energy (no corrections)	-129.3	eV/cell
spin magnetization	0.222	μB per atom
space-group type	R-3m (166)


A geometry-optimized BaFeWO5 structure. Source: Alexandria via LeMat-Bulk, functional PBE with a Hubbard U.

POSCAR file:
```
BaFeWO5
1.0
3.4990 -4.9469 0.0000
3.4990 4.9469 0.0000
-2.8874 0.0000 7.0772
Ba Fe W O
2 2 2 10
Cartesian
1.3335 3.2445 5.3079
2.7772 -3.2445 1.7693
2.7772 3.1056 1.7693
1.3335 -3.1056 5.3079
3.4990 0.0000 0.0000
2.0553 0.0000 3.5386
-1.1627 0.5170 6.4745
1.7372 1.8305 2.9435
0.2810 -0.5170 2.9359
3.8172 1.8305 0.5951
1.3335 0.4881 5.3079
2.7772 -0.4881 1.7693
0.2935 -1.8305 6.4821
3.8296 0.5170 4.1413
2.3734 -1.8305 4.1337
5.2733 -0.5170 0.6027
```

Calculated values
total DFT energy (no corrections)	-114.0	eV/cell
spin magnetization	0.500	μB per atom
space-group type	C2/c (15)
N(E_F)	0.000	states/eV/f.u.


A geometry-optimized Ba3Fe2WO9 structure. Source: Alexandria via LeMat-Bulk, functional PBE with a Hubbard U.

POSCAR file:
```
Ba3Fe2WO9
1.0
5.7894 0.0000 0.0000
-2.8947 5.0138 0.0000
0.0000 0.0000 7.1191
Ba Fe W O
3 2 1 9
Cartesian
0.0000 0.0000 0.0000
0.0000 3.3425 4.8166
2.8947 1.6713 2.3024
0.0000 3.3425 1.0772
2.8947 1.6713 6.0418
0.0000 0.0000 3.5595
-1.4474 2.5069 0.0000
0.0000 1.6107 2.4308
-1.4998 4.2084 2.4308
1.3949 0.8053 4.6883
2.8947 0.0000 0.0000
1.4474 2.5069 0.0000
1.4998 4.2084 2.4308
4.3945 0.8053 4.6883
2.8947 3.4031 4.6883
```

Calculated values
offset from the most stable computed form	0.000	eV per atom
spin magnetization	0.666	μB per atom
space-group type	P-3m1 (164)


A geometry-optimized BaFeWO6 structure. Source: Alexandria via LeMat-Bulk, functional PBE with a Hubbard U.

POSCAR file:
```
BaFeWO6
1.0
2.5987 -4.5192 0.0000
2.5987 4.5192 0.0000
-0.0327 0.0000 5.7963
Ba Fe W O
1 1 1 6
Cartesian
0.0000 0.0000 0.0000
2.5824 -1.4961 2.8981
2.5824 1.4962 2.8981
1.0210 -1.7517 1.8155
2.0166 -0.0045 4.0022
3.1482 -0.0045 1.7940
1.5661 -2.7491 3.9963
4.1437 -1.7517 3.9807
3.5986 -2.7491 1.8000
```

Calculated values
total DFT energy (no corrections)	-61.8	eV/cell
spin magnetization	0.226	μB per atom
space-group type	C2 (5)